First-principles (GGA+U) data for an optimized crystal structure of Sr2Fe2O, as listed in the Alexandria database.

Lattice parameters (Å, degrees): 6.7895 6.7895 6.1106 90.00 90.00 90.00
Space group P4/mbm (No. 127)
Unique sites:
Sr1 0.2017 0.2983 0.0000 (multiplicity 4)
Fe1 0.1382 0.6382 0.5000 (multiplicity 4)
O1 0.0000 0.0000 0.0000 (multiplicity 2)

Output
The value obtained for the total magnetization is 7.3 μB/f.u. The crystal system is tetragonal. The calculation puts the total energy at -19.96 eV/f.u. The value obtained for the density of states at the Fermi level is 6.86 states/eV/cell.